Entry 1:
Computed, not measured: a relaxed TbVNi4 crystal at the GGA-PBE level of DFT.

Lattice parameters (Å, degrees): 6.943 6.943 6.943 90.00 90.00 90.00
Space group F-43m (No. 216)
Inequivalent atoms, fractional coordinates:
Tb  0.000  0.000  0.000 x4
V  0.250  0.250  0.250 x4
Ni  0.124  0.124  0.624 x16

## Properties
energy relative to the elements = -167 meV per atom
M_tot = 0.40 μB/atom

Entry 2:
Computed, not measured: a relaxed RbNaGa2Co crystal at the GGA-PBE level of DFT.

Lattice parameters (Å, degrees): 4.674 4.674 5.571 90.00 90.00 90.00
Space group P4/mmm (No. 123)
Inequivalent atoms, fractional coordinates:
Rb  0.000  0.000  0.000 x1
Na  0.500  0.500  0.000 x1
Ga  0.000  0.500  0.500 x2
Co  0.500  0.500  0.500 x1

## Properties
energy relative to the elements = 20 meV per atom
M_tot = 0.00 μB/atom